# PBE-GGA TbZnGe2, relaxed
# density of states at the Fermi level	0.502	states/eV per atom
# ΔH_f (0 K)	-0.3058	eV per atom
data_TbZnGe2
_chemical_formula_sum 'Tb3 Zn3 Ge6'
_cell_length_a 4.3818
_cell_length_b 4.3818
_cell_length_c 14.6863
_cell_angle_alpha 90.00
_cell_angle_beta 90.00
_cell_angle_gamma 120.00
_space_group_name_H-M_alt 'R -3 m'
_space_group_IT_number 166
_space_group_name_Hall '-R 3 2"'
loop_
_atom_site_label
_atom_site_type_symbol
_atom_site_fract_x
_atom_site_fract_y
_atom_site_fract_z
Tb1 Tb 0.0000 0.0000 0.0000
Zn1 Zn 0.0000 0.0000 0.5000
Ge1 Ge 0.0000 0.0000 0.2189

# PBE-GGA RbCrS2, relaxed
# density of states at the Fermi level	1.274	states/eV per atom
# raw formation energy	67.3	meV/atom
data_RbCrS2
_chemical_formula_sum 'Rb4 Cr4 S8'
_cell_length_a 6.9843
_cell_length_b 6.9843
_cell_length_c 6.9843
_cell_angle_alpha 90.00
_cell_angle_beta 90.00
_cell_angle_gamma 90.00
_space_group_name_H-M_alt 'F m -3 m'
_space_group_IT_number 225
_space_group_name_Hall '-F 4 2 3'
loop_
_atom_site_label
_atom_site_type_symbol
_atom_site_fract_x
_atom_site_fract_y
_atom_site_fract_z
Rb1 Rb 0.0000 0.0000 0.0000
Cr1 Cr 0.0000 0.0000 0.5000
S1 S 0.2500 0.2500 0.2500

# PBE-GGA Sm3YEr4, relaxed
# density of states at the Fermi level	1.575	states/eV per atom
# ΔH_f (0 K)	0.1366	eV per atom
# ΔE to the lowest computed polymorph	122	meV per atom
data_Sm3YEr4
_chemical_formula_sum 'Sm6 Y2 Er8'
_cell_length_a 3.4678
_cell_length_b 11.5976
_cell_length_c 12.9415
_cell_angle_alpha 90.00
_cell_angle_beta 90.00
_cell_angle_gamma 90.00
_space_group_name_H-M_alt 'I m m m'
_space_group_IT_number 71
_space_group_name_Hall '-I 2 2'
loop_
_atom_site_label
_atom_site_type_symbol
_atom_site_fract_x
_atom_site_fract_y
_atom_site_fract_z
Sm1 Sm 0.0000 0.0000 0.0000
Sm2 Sm 0.0000 0.5000 0.2447
Y1 Y 0.0000 0.0000 0.5000
Er1 Er 0.0000 0.2455 0.3647

# PBE-GGA LiNiSb2, relaxed
# density of states at the Fermi level	0.293	states/eV per atom
# ΔE to the lowest computed polymorph	36	meV per atom
# raw formation energy	-240.2	meV/atom
data_LiNiSb2
_chemical_formula_sum 'Li2 Ni2 Sb4'
_cell_length_a 6.8541
_cell_length_b 4.0073
_cell_length_c 6.6723
_cell_angle_alpha 90.00
_cell_angle_beta 111.35
_cell_angle_gamma 90.00
_space_group_name_H-M_alt 'C 1 2/m 1'
_space_group_IT_number 12
loop_
_space_group_symop_operation_xyz
'x,y,z'
'-x,-y,-z'
'-x,y,-z'
'x,-y,z'
'x+1/2,y+1/2,z'
'-x+1/2,-y+1/2,-z'
'-x+1/2,y+1/2,-z'
'x+1/2,-y+1/2,z'
loop_
_atom_site_label
_atom_site_type_symbol
_atom_site_fract_x
_atom_site_fract_y
_atom_site_fract_z
Li1 Li 0.0000 0.0000 0.0000
Ni1 Ni 0.0000 0.5000 0.5000
Sb1 Sb 0.2314 0.0000 0.6885

# PBE-GGA TiTe3O8, relaxed
# density of states at the Fermi level	0.000	states/eV per atom
# raw formation energy	-1528.5	meV/atom
data_TiTe3O8
_chemical_formula_sum 'Ti8 Te24 O64'
_cell_length_a 11.2213
_cell_length_b 11.2213
_cell_length_c 11.2213
_cell_angle_alpha 90.00
_cell_angle_beta 90.00
_cell_angle_gamma 90.00
_space_group_name_H-M_alt 'I a -3'
_space_group_IT_number 206
_space_group_name_Hall '-I 2b 2c 3'
loop_
_atom_site_label
_atom_site_type_symbol
_atom_site_fract_x
_atom_site_fract_y
_atom_site_fract_z
Ti1 Ti 0.2500 0.2500 0.2500
Te1 Te 0.0000 0.2500 0.0459
O1 O 0.0781 0.0781 0.0781
O2 O 0.1160 0.1882 0.6538

# PBE-GGA CdAs2Se, relaxed
# density of states at the Fermi level	0.638	states/eV per atom
# ΔE to the lowest computed polymorph	312	meV per atom
# raw formation energy	197.1	meV/atom
data_CdAs2Se
_chemical_formula_sum 'Cd3 As6 Se3'
_cell_length_a 4.0009
_cell_length_b 4.0009
_cell_length_c 19.2766
_cell_angle_alpha 90.00
_cell_angle_beta 90.00
_cell_angle_gamma 120.00
_space_group_name_H-M_alt 'R -3 m'
_space_group_IT_number 166
_space_group_name_Hall '-R 3 2"'
loop_
_atom_site_label
_atom_site_type_symbol
_atom_site_fract_x
_atom_site_fract_y
_atom_site_fract_z
Cd1 Cd 0.0000 0.0000 0.0000
As1 As 0.0000 0.0000 0.2483
Se1 Se 0.0000 0.0000 0.5000

# PBE-GGA SiAg2Sn2, relaxed
# density of states at the Fermi level	0.471	states/eV per atom
# ΔE to the lowest computed polymorph	0	meV per atom
# raw formation energy	284.4	meV/atom
data_SiAg2Sn2
_chemical_formula_sum 'Si2 Ag4 Sn4'
_cell_length_a 7.0251
_cell_length_b 7.0251
_cell_length_c 4.4843
_cell_angle_alpha 90.00
_cell_angle_beta 90.00
_cell_angle_gamma 90.00
_space_group_name_H-M_alt 'P 4/m b m'
_space_group_IT_number 127
_space_group_name_Hall '-P 4 2ab'
loop_
_atom_site_label
_atom_site_type_symbol
_atom_site_fract_x
_atom_site_fract_y
_atom_site_fract_z
Si1 Si 0.0000 0.0000 0.0000
Ag1 Ag 0.1434 0.3566 0.0000
Sn1 Sn 0.1679 0.6679 0.5000

# PBE-GGA Tl3Rh2Cl9, relaxed
# raw formation energy	-787.5	meV/atom
data_Tl3Rh2Cl9
_chemical_formula_sum 'Tl18 Rh12 Cl54'
_cell_length_a 11.7923
_cell_length_b 11.7923
_cell_length_c 19.5736
_cell_angle_alpha 90.00
_cell_angle_beta 90.00
_cell_angle_gamma 120.00
_space_group_name_H-M_alt 'R -3 c'
_space_group_IT_number 167
_space_group_name_Hall '-R 3 2"c'
loop_
_atom_site_label
_atom_site_type_symbol
_atom_site_fract_x
_atom_site_fract_y
_atom_site_fract_z
Tl1 Tl 0.0000 0.3470 0.2500
Rh1 Rh 0.0000 0.0000 0.1710
Cl1 Cl 0.0000 0.1559 0.7500
Cl2 Cl 0.0005 0.1651 0.1051